VASP calculation (PBE) on an optimized crystal structure of PrNd4Mg5.

Output
D(E_F) = 1.121 states/eV per atom
energy of formation from the pure elements = -1.12 eV per formula unit

```
data_PrNd4Mg5
_chemical_formula_sum 'Pr1 Nd4 Mg5'
_symmetry_space_group_name_H-M 'P 4/m m m'
_symmetry_Int_Tables_number 123
_symmetry_space_group_name_Hall '-P 4 2'
_cell_length_a 3.889
_cell_length_b 3.889
_cell_length_c 19.515
_cell_angle_alpha 90.00
_cell_angle_beta 90.00
_cell_angle_gamma 90.00
loop_
_atom_site_label
_atom_site_type_symbol
_atom_site_fract_x
_atom_site_fract_y
_atom_site_fract_z
Pr1 Pr 0.000 0.000 0.000
Nd1 Nd 0.000 0.000 0.201
Nd2 Nd 0.000 0.000 0.400
Mg1 Mg 0.500 0.500 0.101
Mg2 Mg 0.500 0.500 0.301
Mg3 Mg 0.500 0.500 0.500
```